Density functional theory data (PBE) for crystalline SbPtN2F at its relaxed geometry.

## Properties
The uncorrected formation energy is 1.895 eV/atom. The volume is 71.53 Å³ per cell. The calculation puts the total energy at -3.842 eV/atom.

POSCAR file:
```
SbPtN2F
1.0
-1.9787 -3.1363 1.8615
2.6704 -2.6922 -1.6973
2.4877 0.3881 3.2982
Sb N Pt F
1 2 1 1
direct
0.5000 0.5000 0.5000
0.0000 0.0000 0.5000
0.5000 0.0000 0.0000
0.0000 0.5000 0.0000
0.0000 0.0000 0.0000
```



Density functional theory data (PBE) for crystalline CrHOs at its relaxed geometry.

## Properties
The volume is 29.59 Å³ per cell. The calculation puts the total energy at -7.898 eV/atom.

POSCAR file:
```
CrHOs
1.0
2.7387 0.0000 0.0000
0.0000 2.7494 0.0000
0.0000 0.0000 3.9301
Cr H Os
1 1 1
direct
0.5000 0.5000 0.5437
0.0000 0.5000 0.2699
0.0000 0.0000 0.9626
```



Density functional theory data (PBE) for crystalline Tl2TcRh at its relaxed geometry.

## Properties
The formation energy comes out at 0.635 eV/atom. The volume is 77.02 Å³ per cell. The calculation puts the total energy at -4.978 eV/atom.

POSCAR file:
```
Tl2TcRh
1.0
-4.3687 -2.0583 -2.6670
1.4670 -3.2527 -4.2075
0.1111 0.7665 5.4622
Rh Tc Tl
1 1 2
direct
0.7500 0.2500 0.5000
0.2500 0.7500 0.5000
0.9939 0.9939 0.0000
0.5061 0.5061 0.0000
```



Density functional theory data (PBE) for crystalline PrDyCu2 at its relaxed geometry.

## Properties
The formation energy comes out at -0.191 eV/atom. The volume is 88.84 Å³ per cell. The calculation puts the total energy at -4.584 eV/atom.

POSCAR file:
```
PrDyCu2
1.0
3.5270 0.0000 0.0000
0.0000 3.5270 0.0000
0.0000 0.0000 7.1419
Pr Cu Dy
1 2 1
direct
0.5000 0.5000 0.5000
0.0000 0.0000 0.7762
0.0000 0.0000 0.2238
0.5000 0.5000 0.0000
```



Density functional theory data (PBE) for crystalline HoU3Tl4Se8 at its relaxed geometry.

## Properties
The uncorrected formation energy is -0.993 eV/atom. The volume is 474.06 Å³ per cell. The calculation puts the total energy at -5.729 eV/atom.

POSCAR file:
```
HoU3Tl4Se8
1.0
-3.6206 -1.4892 -7.3666
-8.2177 -0.5521 4.1505
4.3525 7.0218 1.1649
Ho U Tl Se
1 3 4 8
direct
0.0000 0.5000 0.0000
0.5000 0.5000 0.0000
0.5000 0.5000 0.5000
0.0000 0.5000 0.5000
0.5000 0.0000 0.0000
0.5000 0.0000 0.5000
0.0000 0.0000 0.0000
0.0000 0.0000 0.5000
0.2336 0.7049 0.9714
0.2336 0.7049 0.4672
0.2646 0.2939 0.5292
0.7378 0.7049 0.9714
0.2622 0.2951 0.0286
0.7354 0.7061 0.4708
0.7664 0.2951 0.5328
0.7664 0.2951 0.0286
```



Density functional theory data (PBE) for crystalline RbNbPd2Br at its relaxed geometry.

## Properties
The uncorrected formation energy is -0.274 eV/atom. The volume is 150.83 Å³ per cell. The calculation puts the total energy at -4.894 eV/atom.

POSCAR file:
```
RbNbPd2Br
1.0
4.5421 0.0018 0.0002
-2.2694 3.9366 -0.0017
-0.0354 -2.5781 8.4347
Nb Br Rb Pd
1 1 1 2
direct
0.8469 0.0867 0.6302
0.9482 0.2840 0.9326
0.3686 0.1207 0.1925
0.4966 0.3869 0.5786
0.1468 0.6883 0.5294
```



Question: Number 5 is which compound?
Answer: HoU3Tl4Se8